[1]
The following is a DFT calculation (GGA-PBE) of an optimized crystal structure of Na2LiTmCl6.

Computed properties:
- DFT total energy: -3.90 eV/atom
- Uncorrected formation energy: -1.89 eV/atom
- Energy above the most stable polymorph in this dataset: 107 meV per atom
- Symmetry: No. 225

abc: 7.2057 7.2057 7.2057
angles: 60.00 60.00 60.00
Atoms (fractional coordinates):
Cl 0.7471 0.2529 0.2529
Cl 0.2529 0.7471 0.2529
Cl 0.2529 0.7471 0.7471
Cl 0.2529 0.2529 0.7471
Cl 0.7471 0.7471 0.2529
Cl 0.7471 0.2529 0.7471
Li 0.5000 0.5000 0.5000
Tm 0.0000 0.0000 0.0000
Na 0.2500 0.2500 0.2500
Na 0.7500 0.7500 0.7500

=====

[2]
The following is a DFT calculation (GGA-PBE) of an optimized crystal structure of Na2LaDyO4.

Computed properties:
- DFT total energy: -6.71 eV/atom
- Uncorrected formation energy: -2.71 eV/atom
- Symmetry: No. 10

abc: 3.5449 6.1642 5.9778
angles: 110.24 90.00 90.00
Atoms (fractional coordinates):
Na 0.0000 0.5000 0.5000
Na 0.5000 0.0000 0.5000
O 0.5000 0.7731 0.7876
O 0.5000 0.2269 0.2124
O 0.0000 0.2476 0.7858
O 0.0000 0.7524 0.2142
Dy 0.0000 0.0000 0.0000
La 0.5000 0.5000 0.0000

=====

[3]
The following is a DFT calculation (GGA-PBE) of an optimized crystal structure of Ho2BeSi2Rh5.

Computed properties:
- DFT total energy: -6.91 eV/atom
- Uncorrected formation energy: -0.86 eV/atom
- Symmetry: No. 127

abc: 3.3537 9.6691 9.6691
angles: 90.00 90.00 90.00
Atoms (fractional coordinates):
Ho 0.0000 0.3270 0.8270
Ho 0.0000 0.6730 0.1730
Ho 0.0000 0.8270 0.6730
Ho 0.0000 0.1730 0.3270
Rh 0.5000 0.7956 0.9337
Rh 0.5000 0.7044 0.4337
Rh 0.5000 0.0663 0.7956
Rh 0.5000 0.5000 0.0000
Rh 0.5000 0.4337 0.2956
Rh 0.5000 0.2956 0.5663
Rh 0.5000 0.2044 0.0663
Rh 0.5000 0.0000 0.5000
Rh 0.5000 0.9337 0.2044
Rh 0.5000 0.5663 0.7044
Si 0.0000 0.6280 0.8720
Si 0.0000 0.1280 0.6280
Si 0.0000 0.3720 0.1280
Si 0.0000 0.8720 0.3720
Be 0.0000 0.5000 0.5000
Be 0.0000 0.0000 0.0000

=====

[4]
The following is a DFT calculation (GGA-PBE) of an optimized crystal structure of Tl2InSn2Br7.

Computed properties:
- DFT total energy: -3.02 eV/atom
- Uncorrected formation energy: -0.75 eV/atom
- Symmetry: No. 44

abc: 5.8364 6.6394 13.5551
angles: 104.18 102.43 90.00
Atoms (fractional coordinates):
Br 0.7292 0.8160 0.4585
Br 0.5886 0.9884 0.1771
Br 0.4114 0.8113 0.8229
Br 0.2708 0.3575 0.5415
Br 0.5000 0.3909 0.0000
Br 0.8925 0.3152 0.7850
Br 0.1075 0.5302 0.2150
In 0.0000 0.1472 0.0000
Tl 0.7110 0.2783 0.4220
Tl 0.2890 0.8563 0.5780
Sn 0.3894 0.3936 0.7787
Sn 0.6106 0.6149 0.2213

=====

[5]
The following is a DFT calculation (GGA-PBE) of an optimized crystal structure of Li3NpAs3.

Computed properties:
- DFT total energy: -5.13 eV/atom
- Formation energy from the elements: -0.469 eV per atom
- Symmetry: No. 148

abc: 7.4178 7.4178 7.7057
angles: 61.23 61.23 60.00
Each line ends with the local moment (μB).
Atoms (fractional coordinates):
As 0.4452 0.0747 0.7737  -0.15
As 0.2935 0.5548 0.2263  -0.15
As 0.0747 0.7065 0.7737  -0.15
As 0.7065 0.4452 0.7737  -0.15
As 0.9253 0.2935 0.2263  -0.15
As 0.5548 0.9253 0.2263  -0.15
Li 0.1744 0.8766 0.3524  -0.02
Li 0.8256 0.1234 0.6476  -0.02
Li 0.5966 0.1744 0.3524  -0.02
Li 0.4034 0.8256 0.6476  -0.02
Li 0.8766 0.5966 0.3524  -0.02
Li 0.1234 0.4034 0.6476  -0.02
Np 0.6670 0.6670 0.9989  1.94
Np 0.3330 0.3330 0.0011  1.94

=====

[6]
The following is a DFT calculation (GGA-PBE) of an optimized crystal structure of CaSb2TeI.

Computed properties:
- DFT total energy: -2.61 eV/atom
- Uncorrected formation energy: 0.38 eV/atom
- Energy above the most stable polymorph in this dataset: 189 meV per atom
- Symmetry: No. 123

abc: 5.9440 5.9440 5.6394
angles: 90.00 90.00 90.00
Atoms (fractional coordinates):
Sb 0.5000 0.0000 0.0000
Sb 0.0000 0.5000 0.0000
Ca 0.0000 0.0000 0.0000
Te 0.0000 0.0000 0.5000
I 0.5000 0.5000 0.5000

=====

[7]
The following is a DFT calculation (GGA-PBE) of an optimized crystal structure of MnTlSe2N.

Computed properties:
- DFT total energy: -5.28 eV/atom
- Uncorrected formation energy: 0.08 eV/atom
- Energy above the most stable polymorph in this dataset: 0 meV per atom
- Symmetry: No. 123

abc: 5.2248 5.2248 3.5297
angles: 90.00 90.00 90.00
Each line ends with the local moment (μB).
Atoms (fractional coordinates):
Se 0.5000 0.0000 0.0000  -0.13
Se 0.0000 0.5000 0.0000  -0.13
Mn 0.0000 0.0000 0.0000  2.18
N 0.0000 0.0000 0.5000  -0.32
Tl 0.5000 0.5000 0.5000  -0.02

=====

[8]
The following is a DFT calculation (GGA-PBE) of an optimized crystal structure of NdGdMnHg.

Computed properties:
- DFT total energy: -7.12 eV/atom
- Formation energy from the elements: -0.037 eV per atom
- Symmetry: No. 216

abc: 5.2770 5.2770 5.2770
angles: 60.00 60.00 60.00
Each line ends with the local moment (μB).
Atoms (fractional coordinates):
Mn 0.0000 0.0000 0.0000  3.72
Nd 0.7500 0.7500 0.7500  -0.17
Gd 0.2500 0.2500 0.2500  6.88
Hg 0.5000 0.5000 0.5000  -0.02